P.
VWSe3: relaxed, PBE.

a b c (Å): 3.4048 5.9765 12.2733
angles (deg): 104.09 90.00 90.00
Positions (direct):
V 0.2500 0.7464 0.2712
V 0.7500 0.4753 0.7288
W 0.2500 0.1217 0.6502
W 0.7500 0.4715 0.3498
Se 0.7500 0.8728 0.7320
Se 0.7500 0.5314 0.1487
Se 0.7500 0.2743 0.5329
Se 0.2500 0.3827 0.8513
Se 0.2500 0.1408 0.2680
Se 0.2500 0.7414 0.4671

***

Q.
VWSe3: relaxed, PBE.

a b c (Å): 4.9324 4.9324 4.9324
angles (deg): 90.00 90.00 90.00
Site moments in Bohr magnetons follow the coordinates.
Positions (direct):
W 0.0000 0.0000 0.0000  0.29
Se 0.0000 0.5000 0.0000  -0.14
Se 0.0000 0.0000 0.5000  -0.14
Se 0.5000 0.0000 0.0000  -0.14
V 0.5000 0.5000 0.5000  3.06

***

Energy ordering: P at the bottom, the next structure 95.1 kJ/mol of atoms above.

***

P.
VW3Se: relaxed, PBE.

a b c (Å): 4.5799 4.5799 4.5799
angles (deg): 90.00 90.00 90.00
Site moments in Bohr magnetons follow the coordinates.
Positions (direct):
W 0.0000 0.5000 0.0000  -0.06
W 0.0000 0.0000 0.5000  -0.06
W 0.5000 0.0000 0.0000  -0.06
Se 0.0000 0.0000 0.0000  -0.01
V 0.5000 0.5000 0.5000  2.05

***

Q.
VW3Se: relaxed, PBE.

a b c (Å): 4.5919 4.5919 4.5919
angles (deg): 90.00 90.00 90.00
Positions (direct):
W 0.0000 0.5000 0.0000
W 0.0000 0.0000 0.5000
W 0.5000 0.0000 0.0000
Se 0.5000 0.5000 0.5000
V 0.0000 0.0000 0.0000

***

Energy ordering: P at the bottom, the next structure 16.0 kJ/mol of atoms above.

***

P.
YV2Se: relaxed, PBE.

a b c (Å): 4.1479 4.1479 9.7438
angles (deg): 77.71 77.71 90.00
Site moments in Bohr magnetons follow the coordinates.
Positions (direct):
Y 0.0000 0.0000 0.0000  0.03
Y 0.7500 0.2500 0.5000  0.03
Se 0.5000 0.5000 0.0000  0.00
Se 0.2500 0.7500 0.5000  0.00
V 0.4677 0.1250 0.2500  0.29
V 0.2823 0.6250 0.2500  0.29
V 0.3750 0.5323 0.7500  0.29
V 0.8750 0.7177 0.7500  0.29

***

Q.
YV2Se: relaxed, PBE.

a b c (Å): 4.6559 4.6559 4.6559
angles (deg): 60.00 60.00 60.00
Site moments in Bohr magnetons follow the coordinates.
Positions (direct):
Y 0.5000 0.5000 0.5000  0.31
Se 0.0000 0.0000 0.0000  -0.03
V 0.2500 0.2500 0.2500  1.71
V 0.7500 0.7500 0.7500  1.71

***

Energy ordering: P at the bottom, the next structure 33.9 kJ/mol of atoms above.

***

P.
YVSe2: relaxed, PBE.

a b c (Å): 5.9931 5.9931 7.5728
angles (deg): 66.69 66.69 90.00
Site moments in Bohr magnetons follow the coordinates.
Positions (direct):
Y 0.0000 0.0000 0.0000  0.13
Y 0.7500 0.2500 0.5000  0.13
Se 0.5888 0.1250 0.2500  -0.03
Se 0.1612 0.6250 0.2500  -0.03
Se 0.3750 0.4112 0.7500  -0.03
Se 0.8750 0.8388 0.7500  -0.03
V 0.5000 0.5000 0.0000  2.51
V 0.2500 0.7500 0.5000  2.51

***

Q.
YVSe2: relaxed, PBE.

a b c (Å): 8.5427 8.5427 8.5427
angles (deg): 27.76 27.76 27.76
Site moments in Bohr magnetons follow the coordinates.
Positions (direct):
Y 0.5000 0.5000 0.5000  0.07
Se 0.8982 0.8982 0.8982  -0.02
Se 0.1018 0.1018 0.1018  -0.02
V 0.0000 0.0000 0.0000  2.98

***

Energy ordering: P at the bottom, the next structure 9.5 kJ/mol of atoms above.

***

P.
V2ZnSe: relaxed, PBE.

a b c (Å): 3.6933 3.6933 9.5269
angles (deg): 78.82 78.82 90.00
Positions (direct):
Zn 0.5000 0.5000 0.0000
Zn 0.2500 0.7500 0.5000
Se 0.0000 0.0000 0.0000
Se 0.7500 0.2500 0.5000
V 0.6202 0.1250 0.2500
V 0.1298 0.6250 0.2500
V 0.3750 0.3798 0.7500
V 0.8750 0.8702 0.7500

***

Q.
V2ZnSe: relaxed, PBE.

a b c (Å): 4.3318 4.3318 4.3318
angles (deg): 60.00 60.00 60.00
Site moments in Bohr magnetons follow the coordinates.
Positions (direct):
Zn 0.0000 0.0000 0.0000  0.03
Se 0.5000 0.5000 0.5000  -0.01
V 0.2500 0.2500 0.2500  0.39
V 0.7500 0.7500 0.7500  0.39

***

Energy ordering: Q at the bottom, the next structure 8.5 kJ/mol of atoms above.

***

P.
ZrV3Se: relaxed, PBE.

a b c (Å): 4.5083 4.5083 4.5083
angles (deg): 90.00 90.00 90.00
Site moments in Bohr magnetons follow the coordinates.
Positions (direct):
Zr 0.5000 0.5000 0.5000  -0.12
Se 0.0000 0.0000 0.0000  -0.01
V 0.0000 0.5000 0.0000  0.44
V 0.0000 0.0000 0.5000  0.44
V 0.5000 0.0000 0.0000  0.44

***

Q.
ZrV3Se: relaxed, PBE.

a b c (Å): 4.6971 4.6971 4.6971
angles (deg): 90.00 90.00 90.00
Site moments in Bohr magnetons follow the coordinates.
Positions (direct):
Zr 0.0000 0.0000 0.0000  -0.02
Se 0.5000 0.5000 0.5000  -0.01
V 0.0000 0.5000 0.0000  0.24
V 0.0000 0.0000 0.5000  0.24
V 0.5000 0.0000 0.0000  0.24

***

Energy ordering: P at the bottom, the next structure 123.2 kJ/mol of atoms above.

***

P.
ZrVSe3: relaxed, PBE.

a b c (Å): 4.8206 4.8206 4.8206
angles (deg): 90.00 90.00 90.00
Site moments in Bohr magnetons follow the coordinates.
Positions (direct):
Zr 0.5000 0.5000 0.5000  1.00
Se 0.0000 0.5000 0.0000  -0.11
Se 0.0000 0.0000 0.5000  -0.11
Se 0.5000 0.0000 0.0000  -0.11
V 0.0000 0.0000 0.0000  1.68

***

Q.
ZrVSe3: relaxed, PBE.

a b c (Å): 3.6708 6.7193 9.7114
angles (deg): 101.78 90.00 90.00
Site moments in Bohr magnetons follow the coordinates.
Positions (direct):
Zr 0.2500 0.2794 0.5623  0.12
Zr 0.7500 0.7206 0.4377  0.12
V 0.2500 0.0930 0.1057  0.79
V 0.7500 0.9070 0.8943  0.79
Se 0.7500 0.0447 0.6648  -0.01
Se 0.7500 0.5628 0.6767  -0.01
Se 0.2500 0.9553 0.3352  -0.01
Se 0.2500 0.4372 0.3233  -0.01
Se 0.2500 0.7384 0.9814  -0.03
Se 0.7500 0.2616 0.0186  -0.03

***

Energy ordering: Q at the bottom, the next structure 70.3 kJ/mol of atoms above.

***

P.
W3Se: relaxed, PBE.

a b c (Å): 5.7229 5.7229 4.6994
angles (deg): 90.00 90.00 120.00
Positions (direct):
W 0.8412 0.6823 0.2500
W 0.3177 0.1588 0.2500
W 0.8412 0.1588 0.2500
W 0.1588 0.3177 0.7500
W 0.6823 0.8412 0.7500
W 0.1588 0.8412 0.7500
Se 0.3333 0.6667 0.2500
Se 0.6667 0.3333 0.7500

***

Q.
W3Se: relaxed, PBE.

a b c (Å): 2.8276 2.8276 8.9843
angles (deg): 90.00 90.00 111.68
Positions (direct):
Se 0.0000 0.0000 0.0000
W 0.5000 0.5000 0.7418
W 0.0000 0.0000 0.5000
W 0.5000 0.5000 0.2582

***

Energy ordering: Q at the bottom, the next structure 26.1 kJ/mol of atoms above.